[1]
Density functional theory data (PBE-GGA) for a relaxed structure of La5Ag4Pt.

Summary:
Raw total energy ... -4.6362 eV/atom
Space-group type ... No. 123
Energy of formation from the pure elements ... -4.279 eV/f.u.
Density of states at the Fermi level ... 9.94 states/eV/cell

POSCAR file:
```
La5Ag4Pt
1.0
-0.9523 3.2618 -1.6118
-3.5028 -1.2723 -0.5052
-5.0402 7.0384 17.2218
La Ag Pt
5 4 1
direct
0.5000 0.5000 0.0891
0.5000 0.5000 0.2958
0.5000 0.5000 0.5000
0.5000 0.5000 0.7042
0.5000 0.5000 0.9109
0.0000 0.0000 0.1963
0.0000 0.0000 0.3979
0.0000 0.0000 0.6021
0.0000 0.0000 0.8037
0.0000 0.0000 0.0000
```

=====

[2]
Density functional theory data (PBE-GGA) for a relaxed structure of DyHo2Er2Sc.

Summary:
Raw total energy ... -4.5879 eV/atom
Space-group type ... No. 58
Energy of formation from the pure elements ... 1.687 eV/f.u.
Density of states at the Fermi level ... 16.55 states/eV/cell

POSCAR file:
```
DyHo2Er2Sc
1.0
-0.2856 3.1873 0.8102
-6.0347 -1.0897 2.1594
6.1891 -3.4050 15.5775
Dy Ho Er Sc
2 4 4 2
direct
0.5000 0.5000 0.0000
0.0000 0.0000 0.5000
0.5000 0.7530 0.3519
0.5000 0.2470 0.6481
0.0000 0.7470 0.8519
0.0000 0.2530 0.1481
0.5000 0.2515 0.3223
0.0000 0.7515 0.1777
0.5000 0.7485 0.6777
0.0000 0.2485 0.8223
0.0000 0.0000 0.0000
0.5000 0.5000 0.5000
```

=====

[3]
Density functional theory data (PBE-GGA) for a relaxed structure of SrTa2Au2.

Summary:
Raw total energy ... -6.1402 eV/atom
Space-group type ... No. 127
Energy of formation from the pure elements ... 1.241 eV/f.u.
Density of states at the Fermi level ... 11.77 states/eV/cell
Energy above the lowest structure with this stoichiometry ... 1.04 eV per formula unit

POSCAR file:
```
SrTa2Au2
1.0
-5.3872 2.0711 6.3204
-6.3665 0.7483 -5.6717
-0.6544 -2.8119 0.3636
Sr Au Ta
2 4 4
direct
0.0000 0.0000 0.0000
0.5000 0.5000 0.0000
0.3269 0.8269 0.0000
0.8269 0.6731 0.0000
0.6731 0.1731 0.0000
0.1731 0.3269 0.0000
0.1173 0.6173 0.5000
0.6173 0.8827 0.5000
0.8827 0.3827 0.5000
0.3827 0.1173 0.5000
```

=====

[4]
Density functional theory data (PBE-GGA) for a relaxed structure of SmEr6In.

Summary:
Raw total energy ... -4.4623 eV/atom
Space-group type ... No. 123
Energy of formation from the pure elements ... -0.863 eV/f.u.
Density of states at the Fermi level ... 8.29 states/eV/cell

POSCAR file:
```
SmEr6In
1.0
4.8799 0.0000 0.0000
0.0000 4.8799 0.0000
0.0000 0.0000 9.9326
Sm Er In
1 6 1
direct
0.0000 0.0000 0.0000
0.5000 0.5000 0.0000
0.5000 0.5000 0.5000
0.5000 0.0000 0.2570
0.5000 0.0000 0.7430
0.0000 0.5000 0.2570
0.0000 0.5000 0.7430
0.0000 0.0000 0.5000
```

=====

[5]
Density functional theory data (PBE-GGA) for a relaxed structure of ErPd5Au.

Summary:
Raw total energy ... -5.1763 eV/atom
Space-group type ... No. 123
Energy of formation from the pure elements ... -2.429 eV/f.u.
Density of states at the Fermi level ... 3.66 states/eV/cell
Energy above the lowest structure with this stoichiometry ... 0.00 eV per formula unit

POSCAR file:
```
ErPd5Au
1.0
-0.0171 -2.1483 -3.4931
-1.9399 -3.0734 1.8997
-6.7655 3.1090 -1.8789
Er Pd Au
1 5 1
direct
0.0000 0.0000 0.0000
0.5000 0.5000 0.0000
0.5000 0.0000 0.2633
0.0000 0.5000 0.2633
0.5000 0.0000 0.7367
0.0000 0.5000 0.7367
0.0000 0.0000 0.5000
```

=====

[6]
Density functional theory data (PBE-GGA) for a relaxed structure of SmMgIrRh.

Summary:
Raw total energy ... -6.1531 eV/atom
Space-group type ... No. 216
Energy of formation from the pure elements ... -2.086 eV/f.u.
Density of states at the Fermi level ... 1.68 states/eV/cell

POSCAR file:
```
SmMgIrRh
1.0
4.7104 0.0000 0.0000
2.3552 4.0794 0.0000
2.3552 1.3598 3.8461
Mg Ir Rh Sm
1 1 1 1
direct
0.2500 0.2500 0.2500
0.0000 0.0000 0.0000
0.5000 0.5000 0.5000
0.7500 0.7500 0.7500
```

=====

density of states at the Fermi level of number 2 (DyHo2Er2Sc)? 16.55 states/eV/cell

=====

Copy entry 3 word for word.
Density functional theory data (PBE-GGA) for a relaxed structure of SrTa2Au2.

Summary:
Raw total energy ... -6.1402 eV/atom
Space-group type ... No. 127
Energy of formation from the pure elements ... 1.241 eV/f.u.
Density of states at the Fermi level ... 11.77 states/eV/cell
Energy above the lowest structure with this stoichiometry ... 1.04 eV per formula unit

POSCAR file:
```
SrTa2Au2
1.0
-5.3872 2.0711 6.3204
-6.3665 0.7483 -5.6717
-0.6544 -2.8119 0.3636
Sr Au Ta
2 4 4
direct
0.0000 0.0000 0.0000
0.5000 0.5000 0.0000
0.3269 0.8269 0.0000
0.8269 0.6731 0.0000
0.6731 0.1731 0.0000
0.1731 0.3269 0.0000
0.1173 0.6173 0.5000
0.6173 0.8827 0.5000
0.8827 0.3827 0.5000
0.3827 0.1173 0.5000
```

=====

raw total energy of number 4 (SmEr6In)? -4.4623 eV/atom